w | Material: ReTc3Rh
Method: DFT, GGA-PBE
State: relaxed

Cell lengths 4.622, 4.622, 4.622 Å; angles 90.00, 90.00, 90.00 degrees
Positions (direct):
Re  0.000  0.000  0.000
Rh  0.500  0.500  0.500
Tc  0.000  0.000  0.500
Tc  0.000  0.500  0.000
Tc  0.500  0.000  0.000

Output
symmetry = No. 221

---

x | Material: ReTc3Rh
Method: DFT, GGA-PBE
State: relaxed

Cell lengths 4.756, 6.131, 6.136 Å; angles 90.06, 58.83, 105.03 degrees
Positions (direct):
Rh  0.254  0.202  0.847
Rh  0.746  0.798  0.153
Tc  0.252  0.601  0.050
Tc  0.748  0.399  0.950
Tc  0.250  0.003  0.252
Tc  0.750  0.997  0.748
Tc  0.247  0.800  0.650
Tc  0.753  0.200  0.350
Re  0.253  0.403  0.448
Re  0.747  0.597  0.552

Output
symmetry = No. 2

---

Most stable: x

---

w | Material: Re2Tc2Rh
Method: DFT, GGA-PBE
State: relaxed

Cell lengths 7.374, 7.374, 2.844 Å; angles 90.00, 90.00, 90.00 degrees
Positions (direct):
Tc  0.368  0.868  0.000
Tc  0.868  0.632  0.000
Tc  0.132  0.368  0.000
Tc  0.632  0.132  0.000
Rh  0.000  0.000  0.000
Rh  0.500  0.500  0.000
Re  0.334  0.166  0.500
Re  0.666  0.834  0.500
Re  0.166  0.666  0.500
Re  0.834  0.334  0.500

Output
symmetry = No. 127

---

x | Material: Re2Tc2Rh
Method: DFT, GGA-PBE
State: relaxed

Cell lengths 2.731, 7.286, 7.819 Å; angles 105.53, 89.97, 100.86 degrees
Positions (direct):
Re  0.198  0.896  0.848
Re  0.600  0.704  0.051
Re  0.802  0.104  0.152
Re  0.400  0.296  0.949
Tc  0.397  0.291  0.448
Tc  0.201  0.901  0.351
Tc  0.603  0.709  0.552
Tc  0.799  0.099  0.649
Rh  0.000  0.500  0.248
Rh  0.000  0.500  0.752

Output
symmetry = No. 2

---

Most stable: x

---

w | Material: Re2TcRh
Method: DFT, GGA-PBE
State: relaxed

Cell lengths 2.741, 2.741, 7.826 Å; angles 90.00, 90.00, 90.01 degrees
Positions (direct):
Tc  0.500  0.500  0.754
Rh  0.000  0.000  0.497
Re  0.000  0.000  0.997
Re  0.500  0.500  0.252

Output
symmetry = No. 99

---

x | Material: Re2TcRh
Method: DFT, GGA-PBE
State: relaxed

Cell lengths 4.741, 4.741, 4.740 Å; angles 131.50, 131.50, 71.02 degrees
Positions (direct):
Tc  0.250  0.750  0.500
Re  0.000  0.000  0.000
Re  0.500  0.500  0.000
Rh  0.750  0.250  0.500

Output
symmetry = No. 139

---

Most stable: x